A geometry-optimized La6SmTh2 structure, computed with PBE.

```
9
Lattice="3.653 0.000 0.000 -1.826 3.163 0.000 0.000 0.000 27.665" Properties=species:S:1:pos:R:3 pbc="T T T"
La 0.000 0.000 1.741
La 0.000 0.000 7.638
La 0.000 0.000 20.026
La 0.000 0.000 25.924
La 0.000 2.109 10.842
La 0.000 2.109 16.823
Sm 0.000 0.000 13.832
Th 0.000 2.109 4.675
Th 0.000 2.109 22.990
```

Calculated values
electronic total energy	-48.54	eV for the cell shown
calculated formation energy	0.065	eV/atom
magnetic moment	0.00	Bohr magnetons per cell